No. 1
La2MnOsN | meta-GGA SCAN | PBEsol geometry

Output
VASP energy ... -36.9060 eV/atom
ρ ... 9.41 g/cm³

a b c (Å): 5.207 5.207 3.493
angles (deg): 90.00 90.00 90.00
Fractional coordinates of all 5 atoms:
La: 0.000 0.500 0.000
La: 0.500 0.000 0.000
Mn: 0.000 0.000 0.000
Os: 0.500 0.500 0.500
N: 0.000 0.000 0.500

=====

No. 2
CdFe2Se | meta-GGA SCAN | PBEsol geometry

Output
VASP energy ... -21.2511 eV/atom
ρ ... 8.70 g/cm³

a b c (Å): 4.299 4.299 3.128
angles (deg): 90.00 90.00 90.00
Fractional coordinates of all 4 atoms:
Cd: 0.000 0.000 0.000
Fe: 0.000 0.500 0.500
Fe: 0.500 0.000 0.500
Se: 0.500 0.500 0.000